No. 1
# PBE LiPOs2, relaxed
# **Theoretical density**: 14.04 Mg/m³
# **Total energy**: -0.544 Ry/atom
# **Space-group type**: P4mm
data_LiPOs2
_space_group_name_H-M_alt 'P 1'
_space_group_IT_number 1
_cell_length_a 2.9637
_cell_length_b 2.9637
_cell_length_c 5.6333
_cell_angle_alpha 90.00
_cell_angle_beta 90.00
_cell_angle_gamma 90.00
loop_
_space_group_symop_operation_xyz
'x,y,z'
loop_
_atom_site_label
_atom_site_type_symbol
_atom_site_fract_x
_atom_site_fract_y
_atom_site_fract_z
Li1 Li 0.5000 0.5000 0.7320
Os1 Os 0.0000 0.0000 0.9644
Os2 Os 0.5000 0.5000 0.2792
P1 P 0.0000 0.0000 0.5244


No. 2
# PBE LiPOs, relaxed
# **Theoretical density**: 10.20 Mg/m³
# **Total energy**: -0.479 Ry/atom
# **Space-group type**: I4mm
data_LiPOs
_space_group_name_H-M_alt 'P 1'
_space_group_IT_number 1
_cell_length_a 4.6340
_cell_length_b 4.6340
_cell_length_c 4.6340
_cell_angle_alpha 142.19
_cell_angle_beta 142.19
_cell_angle_gamma 54.55
loop_
_space_group_symop_operation_xyz
'x,y,z'
loop_
_atom_site_label
_atom_site_type_symbol
_atom_site_fract_x
_atom_site_fract_y
_atom_site_fract_z
Li1 Li 0.0059 0.0059 0.0000
Os1 Os 0.3164 0.3164 0.0000
P1 P 0.6777 0.6777 0.0000


No. 3
# PBE LiPOs2, relaxed
# **Theoretical density**: 13.51 Mg/m³
# **Total energy**: -0.538 Ry/atom
# **Space-group type**: Imm2
data_LiPOs2
_space_group_name_H-M_alt 'P 1'
_space_group_IT_number 1
_cell_length_a 5.0412
_cell_length_b 5.0412
_cell_length_c 5.0412
_cell_angle_alpha 146.19
_cell_angle_beta 133.29
_cell_angle_gamma 58.90
loop_
_space_group_symop_operation_xyz
'x,y,z'
loop_
_atom_site_label
_atom_site_type_symbol
_atom_site_fract_x
_atom_site_fract_y
_atom_site_fract_z
Li1 Li 0.2641 0.7641 0.5000
Os1 Os 0.9885 0.9885 0.0000
Os2 Os 0.7308 0.2308 0.5000
P1 P 0.5166 0.5166 0.0000


No. 4
# PBE LiPOs2, relaxed
# **Theoretical density**: 11.98 Mg/m³
# **Total energy**: -0.541 Ry/atom
# **Space-group type**: P4mm
data_LiPOs2
_space_group_name_H-M_alt 'P 1'
_space_group_IT_number 1
_cell_length_a 2.7886
_cell_length_b 2.7886
_cell_length_c 7.4548
_cell_angle_alpha 90.00
_cell_angle_beta 90.00
_cell_angle_gamma 90.00
loop_
_space_group_symop_operation_xyz
'x,y,z'
loop_
_atom_site_label
_atom_site_type_symbol
_atom_site_fract_x
_atom_site_fract_y
_atom_site_fract_z
Li1 Li 0.5000 0.5000 0.7453
Os1 Os 0.0000 0.0000 0.0203
Os2 Os 0.5000 0.5000 0.2676
P1 P 0.0000 0.0000 0.4668


Which of these has the highest total energy? LiPOs


What is the total energy in the fourth record? -0.541 Ry/atom


Copy entry 2 word for word.
# PBE LiPOs, relaxed
# **Theoretical density**: 10.20 Mg/m³
# **Total energy**: -0.479 Ry/atom
# **Space-group type**: I4mm
data_LiPOs
_space_group_name_H-M_alt 'P 1'
_space_group_IT_number 1
_cell_length_a 4.6340
_cell_length_b 4.6340
_cell_length_c 4.6340
_cell_angle_alpha 142.19
_cell_angle_beta 142.19
_cell_angle_gamma 54.55
loop_
_space_group_symop_operation_xyz
'x,y,z'
loop_
_atom_site_label
_atom_site_type_symbol
_atom_site_fract_x
_atom_site_fract_y
_atom_site_fract_z
Li1 Li 0.0059 0.0059 0.0000
Os1 Os 0.3164 0.3164 0.0000
P1 P 0.6777 0.6777 0.0000


The lowest theoretical density belongs to which entry? LiPOs